Here is crystalline Li7Co5O12 at its relaxed geometry from Alexandria via LeMat-Bulk. Energies are from PBE with a Hubbard U.

The structure in POSCAR format:
```
Li7Co5O12
1.0
5.007 0.000 0.000
-0.004 5.680 0.000
-2.448 -1.429 6.938
Li Co O
7 5 12
Direct
0.000 0.000 0.000
0.491 0.082 0.330
0.496 0.584 0.334
0.500 0.240 0.000
0.500 0.760 0.000
0.504 0.416 0.666
0.509 0.918 0.670
0.000 0.500 0.000
0.004 0.167 0.670
0.005 0.671 0.672
0.995 0.329 0.328
0.996 0.833 0.330
0.211 0.620 0.492
0.216 0.123 0.490
0.219 0.774 0.165
0.220 0.308 0.166
0.222 0.458 0.830
0.231 0.953 0.813
0.769 0.047 0.187
0.778 0.542 0.170
0.780 0.692 0.834
0.781 0.226 0.835
0.784 0.877 0.510
0.789 0.380 0.508
```

Output
Excess energy over the best structure of this formula in the dataset ... 8 meV per atom